<1>
LaLuPa: optimized geometry, PBE.

a = 3.4085 Å, b = 3.4085 Å, c = 8.0305 Å
α = 102.25°, β = 102.25°, γ = 90.00°
Closest atoms and distances in Å follow each position.
Fractional coordinates of all 3 atoms:
Pa 0.3309 0.3309 0.6619  4 Lu 3.33, 4 Pa 3.41, 4 La 3.41
Lu 0.6805 0.6805 0.3610  4 Pa 3.33, 4 Lu 3.41
La 0.9886 0.9886 0.9771  4 La 3.41, 4 Pa 3.41, 4 Lu 3.80

**Symmetry**: I4mm (107)
**Magnetization**: 0.000 μB/atom

---

<2>
LaLuPa: optimized geometry, PBE.

a = 3.4274 Å, b = 3.4274 Å, c = 8.6420 Å
α = 90.00°, β = 90.00°, γ = 120.00°
Closest atoms and distances in Å follow each position.
Fractional coordinates of all 3 atoms:
Pa 0.0000 0.0000 0.0047  3 Lu 3.33, 6 Pa 3.43, 3 La 3.43
Lu 0.6667 0.3333 0.3152  3 Pa 3.33, 6 Lu 3.43, 3 La 3.72
La 0.3333 0.6667 0.6801  6 La 3.43, 3 Pa 3.43, 3 Lu 3.72

**Symmetry**: P3m1 (156)
**Magnetization**: 0.000 μB/atom

---

Most favorable structure: <2>. The second most favorable one is 16 meV per atom above it.

---

<1>
LaPm2Lu: optimized geometry, PBE.

a = 3.6290 Å, b = 3.6290 Å, c = 10.2800 Å
α = 90.00°, β = 90.00°, γ = 90.00°
Closest atoms and distances in Å follow each position.
Fractional coordinates of all 4 atoms:
Lu 0.5000 0.5000 0.0000  8 Pm 3.57, 4 Lu 3.63
La 0.5000 0.5000 0.5000  4 La 3.63, 8 Pm 3.70
Pm 0.0000 0.0000 0.7592  4 Lu 3.57, 4 Pm 3.63, 4 La 3.70
Pm 0.0000 0.0000 0.2408  4 Lu 3.57, 4 Pm 3.63, 4 La 3.70

**Symmetry**: P4/mmm (123)
**Magnetization**: 0.000 μB/atom

---

<2>
LaPm2Lu: optimized geometry, PBE.

a = 5.1622 Å, b = 5.1068 Å, c = 5.1068 Å
α = 90.00°, β = 90.00°, γ = 90.00°
Closest atoms and distances in Å follow each position.
Fractional coordinates of all 4 atoms:
Lu 0.5000 0.5000 0.5000  4 La 3.61, 8 Pm 3.63
Pm 0.0000 0.0000 0.5000  4 Pm 3.61, 4 La 3.63, 4 Lu 3.63
Pm 0.0000 0.5000 0.0000  4 Pm 3.61, 4 La 3.63, 4 Lu 3.63
La 0.5000 0.0000 0.0000  4 Lu 3.61, 8 Pm 3.63

**Symmetry**: P4/mmm (123)
**Magnetization**: 0.000 μB/atom

---

<3>
LaPm2Lu: optimized geometry, PBE.

a = 5.7866 Å, b = 5.7866 Å, c = 5.7866 Å
α = 60.00°, β = 60.00°, γ = 60.00°
Closest atoms and distances in Å follow each position.
Fractional coordinates of all 4 atoms:
Lu 0.0000 0.0000 0.0000  8 Pm 3.54
La 0.5000 0.5000 0.5000  8 Pm 3.54
Pm 0.2500 0.2500 0.2500  4 La 3.54, 4 Lu 3.54
Pm 0.7500 0.7500 0.7500  4 La 3.54, 4 Lu 3.54

**Symmetry**: Fm-3m (225)
**Magnetization**: 0.258 μB/atom

---

Most favorable structure: <2>. The second most favorable one is 11 meV per atom above it.

---

<1>
LaPmLu: optimized geometry, PBE.

a = 3.6450 Å, b = 3.6450 Å, c = 8.0285 Å
α = 103.12°, β = 103.12°, γ = 90.00°
Closest atoms and distances in Å follow each position.
Fractional coordinates of all 3 atoms:
Lu 0.6649 0.6649 0.3297  4 Pm 3.55, 4 La 3.61, 4 Lu 3.64
La 0.3311 0.3311 0.6623  4 Lu 3.61, 4 La 3.64, 4 Pm 3.68
Pm 0.0040 0.0040 0.0080  4 Lu 3.55, 4 Pm 3.64, 4 La 3.68

**Symmetry**: I4mm (107)
**Magnetization**: 0.000 μB/atom

---

<2>
LaPmLu: optimized geometry, PBE.

a = 3.4838 Å, b = 5.7420 Å, c = 5.7420 Å
α = 120.00°, β = 90.00°, γ = 90.00°
Closest atoms and distances in Å follow each position.
Fractional coordinates of all 3 atoms:
Lu 0.1660 0.3333 0.6667  3 La 3.32, 2 Lu 3.48
La 0.1672 0.0000 0.0000  3 Lu 3.32, 2 La 3.48
Pm 0.6668 0.6667 0.3333  2 Pm 3.48, 6 Lu 3.74-3.75, 6 La 3.74-3.75

**Symmetry**: P-6m2 (187)
**Magnetization**: 0.000 μB/atom

---

Most favorable structure: <1>. The second most favorable one is 39 meV per atom above it.